Record 1
DFT (SCAN) results for Be2CrMo2 at its PBEsol-relaxed geometry.

Structure (CIF):
```
data_Be2CrMo2
_symmetry_space_group_name_H-M 'P 4/m b m'
_symmetry_Int_Tables_number 127
_symmetry_space_group_name_Hall '-P 4 2ab'
_cell_length_a 5.982
_cell_length_b 5.982
_cell_length_c 3.160
_cell_angle_alpha 90.00
_cell_angle_beta 90.00
_cell_angle_gamma 90.00
loop_
_atom_site_label
_atom_site_type_symbol
_atom_site_fract_x
_atom_site_fract_y
_atom_site_fract_z
Be1 Be 0.120 0.380 0.000
Cr1 Cr 0.000 0.000 0.000
Mo1 Mo 0.178 0.678 0.500
```

Computed properties:
Total moment in μB/atom: 0.000
ΔE_f in kJ per mole of atoms: -12.3



Record 2
DFT (SCAN) results for MgTaMn4 at its PBEsol-relaxed geometry.

Structure (CIF):
```
data_MgTaMn4
_symmetry_space_group_name_H-M 'F -4 3 m'
_symmetry_Int_Tables_number 216
_symmetry_space_group_name_Hall 'F -4 2 3'
_cell_length_a 6.705
_cell_length_b 6.705
_cell_length_c 6.705
_cell_angle_alpha 90.00
_cell_angle_beta 90.00
_cell_angle_gamma 90.00
loop_
_atom_site_label
_atom_site_type_symbol
_atom_site_fract_x
_atom_site_fract_y
_atom_site_fract_z
Mg1 Mg 0.000 0.000 0.000
Ta1 Ta 0.250 0.250 0.750
Mn1 Mn 0.125 0.125 0.375
```

Computed properties:
Total moment in μB/atom: 0.488
ΔE_f in kJ per mole of atoms: 2.2



Record 3
DFT (SCAN) results for CaAu2 at its PBEsol-relaxed geometry.

Structure (CIF):
```
data_CaAu2
_symmetry_space_group_name_H-M 'C m c m'
_symmetry_Int_Tables_number 63
_symmetry_space_group_name_Hall '-C 2c 2'
_cell_length_a 3.730
_cell_length_b 14.114
_cell_length_c 4.669
_cell_angle_alpha 90.00
_cell_angle_beta 90.00
_cell_angle_gamma 90.00
loop_
_atom_site_label
_atom_site_type_symbol
_atom_site_fract_x
_atom_site_fract_y
_atom_site_fract_z
Ca1 Ca 0.000 0.101 0.250
Au1 Au 0.000 0.230 0.750
Au2 Au 0.000 0.431 0.250
```

Computed properties:
Total moment in μB/atom: 0.000
ΔE_f in kJ per mole of atoms: -72.4



Record 4
DFT (SCAN) results for KBaAu2 at its PBEsol-relaxed geometry.

Structure (CIF):
```
data_KBaAu2
_symmetry_space_group_name_H-M 'F -4 3 m'
_symmetry_Int_Tables_number 216
_symmetry_space_group_name_Hall 'F -4 2 3'
_cell_length_a 7.491
_cell_length_b 7.491
_cell_length_c 7.491
_cell_angle_alpha 90.00
_cell_angle_beta 90.00
_cell_angle_gamma 90.00
loop_
_atom_site_label
_atom_site_type_symbol
_atom_site_fract_x
_atom_site_fract_y
_atom_site_fract_z
K1 K 0.000 0.000 0.000
Ba1 Ba 0.250 0.250 0.750
Au1 Au 0.000 0.000 0.500
Au2 Au 0.250 0.250 0.250
```

Computed properties:
Energy relative to the lowest polymorph listed for this composition in meV per atom: 273
Total moment in μB/atom: 0.000
ΔE_f in kJ per mole of atoms: -37.8



Record 5
DFT (SCAN) results for Cs2PrF6 at its PBEsol-relaxed geometry.

Structure (CIF):
```
data_Cs2PrF6
_symmetry_space_group_name_H-M 'P -6 2 m'
_symmetry_Int_Tables_number 189
_symmetry_space_group_name_Hall 'P -6 -2'
_cell_length_a 7.1710
_cell_length_b 7.1710
_cell_length_c 3.8191
_cell_angle_alpha 90.00
_cell_angle_beta 90.00
_cell_angle_gamma 120.00
loop_
_atom_site_label
_atom_site_type_symbol
_atom_site_fract_x
_atom_site_fract_y
_atom_site_fract_z
Cs1 Cs 0.3333 0.6667 0.0000
Pr1 Pr 0.0000 0.0000 0.5000
F1 F 0.0000 0.3289 0.5000
F2 F 0.0000 0.7856 0.0000
```

Computed properties:
Total moment in μB/atom: 0.112
Energy relative to the elements, uncorrected in eV/atom: -3.23



Record 6
DFT (SCAN) results for TlCrCo2 at its PBEsol-relaxed geometry.

Structure (CIF):
```
data_TlCrCo2
_symmetry_space_group_name_H-M 'C 1 2/m 1'
_symmetry_Int_Tables_number 12
_cell_length_a 8.102
_cell_length_b 2.780
_cell_length_c 4.884
_cell_angle_alpha 90.00
_cell_angle_beta 100.60
_cell_angle_gamma 90.00
loop_
_symmetry_equiv_pos_as_xyz
'x,y,z'
'-x,-y,-z'
'-x,y,-z'
'x,-y,z'
'x+1/2,y+1/2,z'
'-x+1/2,-y+1/2,-z'
'-x+1/2,y+1/2,-z'
'x+1/2,-y+1/2,z'
loop_
_atom_site_label
_atom_site_type_symbol
_atom_site_fract_x
_atom_site_fract_y
_atom_site_fract_z
Tl1 Tl 0.000 0.000 0.000
Cr1 Cr 0.000 0.500 0.500
Co1 Co 0.239 0.000 0.693
```

Computed properties:
Energy relative to the lowest polymorph listed for this composition in meV per atom: 57
Total moment in μB/atom: 1.165
ΔE_f in kJ per mole of atoms: 58.7



Record 7
DFT (SCAN) results for ReHg2Sb at its PBEsol-relaxed geometry.

Structure (CIF):
```
data_ReHg2Sb
_symmetry_space_group_name_H-M 'I m m 2'
_symmetry_Int_Tables_number 44
_cell_length_a 2.888
_cell_length_b 4.833
_cell_length_c 12.923
_cell_angle_alpha 90.00
_cell_angle_beta 90.00
_cell_angle_gamma 90.00
loop_
_symmetry_equiv_pos_as_xyz
'x,y,z'
'-x,-y,z'
'-x,y,z'
'x,-y,z'
'x+1/2,y+1/2,z+1/2'
'-x+1/2,-y+1/2,z+1/2'
'-x+1/2,y+1/2,z+1/2'
'x+1/2,-y+1/2,z+1/2'
loop_
_atom_site_label
_atom_site_type_symbol
_atom_site_fract_x
_atom_site_fract_y
_atom_site_fract_z
Re1 Re 0.000 0.000 0.000
Hg1 Hg 0.000 0.000 0.484
Hg2 Hg 0.000 0.500 0.311
Sb1 Sb 0.000 0.500 0.675
```

Computed properties:
Total moment in μB/atom: 0.000
Energy relative to the elements, uncorrected in eV/atom: 0.53



Record 8
DFT (SCAN) results for ScTlBi2Cl at its PBEsol-relaxed geometry.

Structure (CIF):
```
data_ScTlBi2Cl
_symmetry_space_group_name_H-M 'P 4/m m m'
_symmetry_Int_Tables_number 123
_symmetry_space_group_name_Hall '-P 4 2'
_cell_length_a 5.713
_cell_length_b 5.713
_cell_length_c 4.606
_cell_angle_alpha 90.00
_cell_angle_beta 90.00
_cell_angle_gamma 90.00
loop_
_atom_site_label
_atom_site_type_symbol
_atom_site_fract_x
_atom_site_fract_y
_atom_site_fract_z
Sc1 Sc 0.000 0.000 0.000
Tl1 Tl 0.500 0.500 0.000
Bi1 Bi 0.000 0.500 0.500
Cl1 Cl 0.000 0.000 0.500
```

Computed properties:
Total moment in μB/atom: 0.000
Energy relative to the elements, uncorrected in eV/atom: 0.09